Record 1
Computed, not measured: an optimized crystal structure of NaGe5P4 at the GGA-PBE level of DFT.

Output
- ρ: 3.947 Mg/m³
- SG: Pmmn, No. 59

a = 7.218 Å, b = 10.506 Å, c = 5.661 Å
α = 90.00°, β = 90.00°, γ = 90.00°
Element x y z (fractional)
1 Na 0.250 0.250 0.084
2 Na 0.750 0.750 0.916
3 Ge 0.038 0.547 0.292
4 Ge 0.038 0.953 0.292
5 Ge 0.250 0.750 0.677
6 Ge 0.462 0.547 0.292
7 Ge 0.462 0.953 0.292
8 Ge 0.538 0.047 0.708
9 Ge 0.538 0.453 0.708
10 Ge 0.750 0.250 0.323
11 Ge 0.962 0.047 0.708
12 Ge 0.962 0.453 0.708
13 P 0.033 0.250 0.537
14 P 0.250 0.548 0.910
15 P 0.250 0.952 0.910
16 P 0.467 0.250 0.537
17 P 0.533 0.750 0.463
18 P 0.750 0.048 0.090
19 P 0.750 0.452 0.090
20 P 0.967 0.750 0.463

***

Record 2
Computed, not measured: an optimized crystal structure of Na2Ge2P at the GGA-PBE level of DFT.

Output
- ρ: 3.359 Mg/m³
- SG: P4/mbm, No. 127

a = 6.735 Å, b = 6.735 Å, c = 4.843 Å
α = 90.00°, β = 90.00°, γ = 90.00°
Element x y z (fractional)
1 Na 0.176 0.324 0.000
2 Na 0.324 0.824 0.000
3 Na 0.676 0.176 0.000
4 Na 0.824 0.676 0.000
5 Ge 0.133 0.633 0.500
6 Ge 0.367 0.133 0.500
7 Ge 0.633 0.867 0.500
8 Ge 0.867 0.367 0.500
9 P 0.000 0.000 0.500
10 P 0.500 0.500 0.500

***

Record 3
Computed, not measured: an optimized crystal structure of Na2GeP2 at the GGA-PBE level of DFT.

Output
- ρ: 2.897 Mg/m³
- SG: P4/mbm, No. 127

a = 6.760 Å, b = 6.760 Å, c = 4.529 Å
α = 90.00°, β = 90.00°, γ = 90.00°
Element x y z (fractional)
1 Na 0.182 0.318 0.000
2 Na 0.318 0.818 0.000
3 Na 0.682 0.182 0.000
4 Na 0.818 0.682 0.000
5 Ge 0.000 0.000 0.500
6 Ge 0.500 0.500 0.500
7 P 0.115 0.615 0.500
8 P 0.385 0.115 0.500
9 P 0.615 0.885 0.500
10 P 0.885 0.385 0.500

***

Record 4
Computed, not measured: an optimized crystal structure of NaGe2P3 at the GGA-PBE level of DFT.

Output
- ρ: 3.009 Mg/m³
- SG: C2/m, No. 12

a = 10.979 Å, b = 10.979 Å, c = 7.410 Å
α = 108.70°, β = 108.70°, γ = 19.95°
Element x y z (fractional)
1 Na 0.150 0.150 0.450
2 Na 0.850 0.850 0.550
3 Ge 0.190 0.190 0.973
4 Ge 0.457 0.457 0.120
5 Ge 0.543 0.543 0.880
6 Ge 0.810 0.810 0.027
7 P 0.085 0.085 0.751
8 P 0.275 0.275 0.823
9 P 0.431 0.431 0.793
10 P 0.569 0.569 0.207
11 P 0.725 0.725 0.177
12 P 0.915 0.915 0.249

***

Record 5
Computed, not measured: an optimized crystal structure of NaGe2P2 at the GGA-PBE level of DFT.

Output
- ρ: 3.906 Mg/m³
- SG: I4/mmm, No. 139

a = 5.456 Å, b = 5.456 Å, c = 5.456 Å
α = 128.03°, β = 128.03°, γ = 76.58°
Element x y z (fractional)
1 Na 0.000 0.000 0.000
2 Ge 0.347 0.347 0.000
3 Ge 0.653 0.653 0.000
4 P 0.250 0.750 0.500
5 P 0.750 0.250 0.500

***

Record 6
Computed, not measured: an optimized crystal structure of NaGe6P8 at the GGA-PBE level of DFT.

Output
- ρ: 3.119 Mg/m³
- SG: R-3, No. 148

a = 7.299 Å, b = 7.299 Å, c = 7.299 Å
α = 81.11°, β = 81.11°, γ = 81.11°
Element x y z (fractional)
1 Na 0.000 0.000 0.000
2 Ge 0.141 0.515 0.328
3 Ge 0.328 0.141 0.515
4 Ge 0.485 0.672 0.859
5 Ge 0.515 0.328 0.141
6 Ge 0.672 0.859 0.485
7 Ge 0.859 0.485 0.672
8 P 0.188 0.409 0.661
9 P 0.215 0.215 0.215
10 P 0.339 0.812 0.591
11 P 0.409 0.661 0.188
12 P 0.591 0.339 0.812
13 P 0.661 0.188 0.409
14 P 0.785 0.785 0.785
15 P 0.812 0.591 0.339

***

Record 7
Computed, not measured: an optimized crystal structure of Na2Ge2P3 at the GGA-PBE level of DFT.

Output
- ρ: 2.775 Mg/m³
- SG: C2/m, No. 12

a = 7.267 Å, b = 7.267 Å, c = 7.310 Å
α = 116.38°, β = 116.38°, γ = 29.74°
Element x y z (fractional)
1 Na 0.095 0.095 0.333
2 Na 0.905 0.905 0.667
3 Ge 0.324 0.324 0.197
4 Ge 0.676 0.676 0.803
5 P 0.293 0.293 0.837
6 P 0.500 0.500 0.500
7 P 0.707 0.707 0.163

***

Record 8
Computed, not measured: an optimized crystal structure of NaGe2PPb at the GGA-PBE level of DFT.

Output
- ρ: 4.133 Mg/m³
- SG: P4/mmm, No. 123

a = 5.502 Å, b = 5.502 Å, c = 5.395 Å
α = 90.00°, β = 90.00°, γ = 90.00°
Element x y z (fractional)
1 Na 0.000 0.000 0.000
2 Ge 0.000 0.500 0.500
3 Ge 0.500 0.000 0.500
4 P 0.500 0.500 0.000
5 Pb 0.500 0.500 0.500

***

Record 9
Computed, not measured: an optimized crystal structure of Na2GeP2Pd5 at the GGA-PBE level of DFT.

Output
- ρ: 7.182 Mg/m³
- SG: P4/mbm, No. 127

a = 10.393 Å, b = 10.393 Å, c = 3.051 Å
α = 90.00°, β = 90.00°, γ = 90.00°
Element x y z (fractional)
1 Na 0.174 0.326 0.000
2 Na 0.326 0.826 0.000
3 Na 0.674 0.174 0.000
4 Na 0.826 0.674 0.000
5 Ge 0.000 0.000 0.000
6 Ge 0.500 0.500 0.000
7 P 0.130 0.630 0.000
8 P 0.370 0.130 0.000
9 P 0.630 0.870 0.000
10 P 0.870 0.370 0.000
11 Pd 0.000 0.500 0.500
12 Pd 0.063 0.801 0.500
13 Pd 0.199 0.063 0.500
14 Pd 0.301 0.563 0.500
15 Pd 0.437 0.301 0.500
16 Pd 0.500 0.000 0.500
17 Pd 0.563 0.699 0.500
18 Pd 0.699 0.437 0.500
19 Pd 0.801 0.937 0.500
20 Pd 0.937 0.199 0.500

***

Record 10
Computed, not measured: an optimized crystal structure of Na2GePPd6 at the GGA-PBE level of DFT.

Output
- ρ: 6.783 Mg/m³
- SG: Pmmn, No. 59

a = 5.991 Å, b = 8.732 Å, c = 7.376 Å
α = 90.00°, β = 90.00°, γ = 90.00°
Element x y z (fractional)
1 Na 0.250 0.039 0.211
2 Na 0.250 0.461 0.211
3 Na 0.750 0.539 0.789
4 Na 0.750 0.961 0.789
5 Ge 0.250 0.750 0.782
6 Ge 0.750 0.250 0.218
7 P 0.250 0.250 0.733
8 P 0.750 0.750 0.267
9 Pd 0.024 0.750 0.485
10 Pd 0.027 0.750 0.063
11 Pd 0.250 0.001 0.624
12 Pd 0.250 0.499 0.624
13 Pd 0.473 0.750 0.063
14 Pd 0.476 0.750 0.485
15 Pd 0.524 0.250 0.515
16 Pd 0.527 0.250 0.937
17 Pd 0.750 0.501 0.376
18 Pd 0.750 0.999 0.376
19 Pd 0.973 0.250 0.937
20 Pd 0.976 0.250 0.515

***

Record 11
Computed, not measured: an optimized crystal structure of Na2GePPt6 at the GGA-PBE level of DFT.

Output
- ρ: 11.410 Mg/m³
- SG: Pmmn, No. 59

a = 5.737 Å, b = 8.589 Å, c = 7.798 Å
α = 90.00°, β = 90.00°, γ = 90.00°
Element x y z (fractional)
1 Na 0.250 0.033 0.209
2 Na 0.250 0.467 0.209
3 Na 0.750 0.533 0.791
4 Na 0.750 0.967 0.791
5 Ge 0.250 0.750 0.777
6 Ge 0.750 0.250 0.223
7 P 0.250 0.250 0.744
8 P 0.750 0.750 0.256
9 Pt 0.012 0.750 0.488
10 Pt 0.020 0.750 0.047
11 Pt 0.250 0.501 0.611
12 Pt 0.250 0.999 0.611
13 Pt 0.480 0.750 0.047
14 Pt 0.488 0.750 0.488
15 Pt 0.512 0.250 0.512
16 Pt 0.520 0.250 0.953
17 Pt 0.750 0.001 0.389
18 Pt 0.750 0.499 0.389
19 Pt 0.980 0.250 0.953
20 Pt 0.988 0.250 0.512

***

no.,E_form (eV per atom)
1,0.0966
2,0.0157
3,-0.1738
4,-0.0583
5,-0.0126
6,0.1896
7,-0.1047
8,0.8463
9,-0.4501
10,-0.3407
11,-0.3666